1.
Below is an optimized crystal structure of Zr2CdBr, with properties calculated at the PBE-GGA level.

a = 3.2490 Å, b = 3.2490 Å, c = 7.9689 Å
α = 90.00°, β = 90.00°, γ = 90.00°
With the nearest neighbours (Å) after each atom.
Fractional positions:
1 Zr 0.0000 0.0000 0.0146  4 Br 2.97, 4 Cd 3.12, 4 Zr 3.25
2 Zr 0.0000 0.0000 0.4854  4 Br 2.97, 4 Cd 3.12, 4 Zr 3.25
3 Br 0.5000 0.5000 0.2500  8 Zr 2.97, 4 Br 3.25
4 Cd 0.5000 0.5000 0.7500  8 Zr 3.12, 4 Cd 3.25

Values from the calculation:
raw formation energy	-0.165	eV per atom
electronic total energy	-20.35	eV for the cell shown
relative energy among the computed polymorphs	191	meV/atom

2.
Below is an optimized crystal structure of TaZnCd2Hg, with properties calculated at the PBE-GGA level.

a = 5.6159 Å, b = 5.4902 Å, c = 5.6159 Å
α = 90.00°, β = 90.00°, γ = 90.00°
With the nearest neighbours (Å) after each atom.
Fractional positions:
1 Hg 0.0000 0.5000 0.0000  2 Ta 2.75
2 Ta 0.0000 0.0000 0.0000  2 Hg 2.75, 4 Cd 2.81
3 Cd 0.0000 0.0000 0.5000  2 Ta 2.81
4 Cd 0.5000 0.0000 0.0000  2 Ta 2.81
5 Zn 0.5000 0.5000 0.5000  8 Cd 3.93, 4 Hg 3.97

Values from the calculation:
energy of formation	5.54	eV/f.u.
electronic total energy	-9.72	eV for the cell shown

3.
Below is an optimized crystal structure of PrHo2TlHg4, with properties calculated at the PBE-GGA level.

a = 5.1730 Å, b = 5.1730 Å, c = 9.5957 Å
α = 74.36°, β = 74.36°, γ = 60.00°
With the nearest neighbours (Å) after each atom.
Fractional positions:
1 Tl 0.5000 0.5000 0.5000  8 Hg 3.24-3.38, 6 Ho 3.59
2 Ho 0.2398 0.2398 0.2806  7 Hg 3.08-3.29
3 Ho 0.7602 0.7602 0.7194  7 Hg 3.08-3.29
4 Hg 0.1207 0.1207 0.6380  4 Ho 3.08-3.26, 3 Tl 3.24, 1 Pr 3.30
5 Hg 0.6235 0.6235 0.1296  3 Pr 3.21, 3 Ho 3.29, 1 Tl 3.38
6 Hg 0.8793 0.8793 0.3620  4 Ho 3.08-3.26, 3 Tl 3.24, 1 Pr 3.30
7 Hg 0.3765 0.3765 0.8704  3 Pr 3.21, 3 Ho 3.29, 1 Tl 3.38
8 Pr 0.0000 0.0000 0.0000  8 Hg 3.21-3.30

Values from the calculation:
energy of formation	-2.90	eV/f.u.
electronic total energy	-20.41	eV for the cell shown

4.
Below is an optimized crystal structure of TmTh2Co, with properties calculated at the PBE-GGA level.

a = 3.7140 Å, b = 3.7140 Å, c = 10.2624 Å
α = 79.57°, β = 79.57°, γ = 60.00°
With the nearest neighbours (Å) after each atom.
Fractional positions:
1 Co 0.5000 0.5000 0.5000  6 Th 2.69
2 Tm 0.0000 0.0000 0.0000  2 Th 3.39, 6 Tm 3.71
3 Th 0.1126 0.1126 0.6623  3 Co 2.69
4 Th 0.8874 0.8874 0.3377  3 Co 2.69

Values from the calculation:
energy of formation	0.59	eV/f.u.
electronic total energy	-25.82	eV for the cell shown
relative energy among the computed polymorphs	332	meV/atom

5.
Below is an optimized crystal structure of CeTiZnCd, with properties calculated at the PBE-GGA level.

a = 5.0031 Å, b = 5.0031 Å, c = 5.0031 Å
α = 60.00°, β = 60.00°, γ = 60.00°
With the nearest neighbours (Å) after each atom.
Fractional positions:
1 Zn 0.0000 0.0000 0.0000  4 Ce 3.06, 4 Ti 3.06
2 Ce 0.7500 0.7500 0.7500  4 Cd 3.06, 4 Zn 3.06
3 Cd 0.5000 0.5000 0.5000  4 Ti 3.06, 4 Ce 3.06
4 Ti 0.2500 0.2500 0.2500  4 Zn 3.06, 4 Cd 3.06

Values from the calculation:
energy of formation	0.04	eV/f.u.
electronic total energy	-15.98	eV for the cell shown

6.
Below is an optimized crystal structure of Tb2Ho5ThMg, with properties calculated at the PBE-GGA level.

a = 5.4561 Å, b = 10.3262 Å, c = 10.3647 Å
α = 90.00°, β = 90.00°, γ = 105.32°
With the nearest neighbours (Å) after each atom.
Fractional positions:
1 Mg 0.5960 0.1921 0.0073  6 Ho 3.11-3.22, 2 Th 3.42
2 Mg 0.4040 0.8079 0.5073  6 Ho 3.11-3.22, 2 Th 3.42
3 Th 0.8001 0.6001 0.5084  2 Mg 3.42, 8 Ho 3.43-3.71, 2 Tb 3.43-3.44
4 Th 0.1999 0.3999 0.0084  2 Mg 3.42, 8 Ho 3.43-3.71, 2 Tb 3.43-3.44
5 Tb 0.8849 0.7699 0.7970  9 Ho 3.37-3.61, 1 Th 3.44
6 Tb 0.1152 0.2304 0.7198  9 Ho 3.37-3.61, 1 Th 3.43
7 Tb 0.8848 0.7696 0.2198  9 Ho 3.37-3.61, 1 Th 3.43
8 Tb 0.1151 0.2301 0.2970  9 Ho 3.37-3.61, 1 Th 3.44
9 Ho 0.6196 0.2391 0.5084  4 Tb 3.50, 6 Ho 3.52-3.80, 1 Th 3.60
10 Ho 0.2865 0.5729 0.3093  1 Mg 3.11, 2 Ho 3.27, 3 Tb 3.42-3.48, 2 Th 3.43
11 Ho 0.0136 0.0272 0.0084  2 Mg 3.18, 2 Tb 3.37
12 Ho 0.2870 0.5740 0.7074  1 Mg 3.12, 2 Ho 3.27, 3 Tb 3.42-3.48, 2 Th 3.43
13 Ho 0.3804 0.7609 0.0084  4 Tb 3.50, 6 Ho 3.52-3.80, 1 Th 3.60
14 Ho 0.4997 0.9994 0.7579  2 Mg 3.22, 2 Ho 3.52, 4 Tb 3.58-3.59
15 Ho 0.7130 0.4260 0.2074  1 Mg 3.12, 2 Ho 3.27, 3 Tb 3.42-3.48, 2 Th 3.43
16 Ho 0.9864 0.9728 0.5084  2 Mg 3.18, 2 Tb 3.37
17 Ho 0.7135 0.4271 0.8093  1 Mg 3.11, 2 Ho 3.27, 3 Tb 3.42-3.48, 2 Th 3.43
18 Ho 0.5003 0.0006 0.2579  2 Mg 3.22, 2 Ho 3.52, 4 Tb 3.58-3.59

Values from the calculation:
energy of formation	1.06	eV/f.u.
electronic total energy	-80.22	eV for the cell shown

7.
Below is an optimized crystal structure of KNiSb4, with properties calculated at the PBE-GGA level.

a = 6.2900 Å, b = 6.2900 Å, c = 6.2900 Å
α = 60.00°, β = 60.00°, γ = 60.00°
With the nearest neighbours (Å) after each atom.
Fractional positions:
1 Sb 0.8813 0.3729 0.3729  6 Sb 3.09-3.20
2 Sb 0.3729 0.3729 0.3729  6 Sb 3.09-3.20
3 Sb 0.3729 0.8813 0.3729  6 Sb 3.09-3.20
4 Sb 0.3729 0.3729 0.8813  6 Sb 3.09-3.20
5 Ni 0.0000 0.0000 0.0000  12 Sb 3.68, 4 K 3.85
6 K 0.7500 0.7500 0.7500  12 Sb 3.69, 4 Ni 3.85

Values from the calculation:
raw formation energy	0.400	eV per atom
electronic total energy	-20.97	eV for the cell shown

8.
Below is an optimized crystal structure of Ba2TlOs, with properties calculated at the PBE-GGA level.

a = 3.8073 Å, b = 3.7588 Å, c = 9.8469 Å
α = 67.58°, β = 90.00°, γ = 90.00°
With the nearest neighbours (Å) after each atom.
Fractional positions:
1 Tl 0.5000 0.7500 0.7500  4 Tl 3.76-3.81, 8 Ba 3.80
2 Ba 0.0000 0.9542 0.0461  4 Os 3.25-3.26
3 Ba 0.0000 0.5458 0.4539  4 Os 3.25-3.26
4 Os 0.5000 0.2500 0.2500  8 Ba 3.25-3.26

Values from the calculation:
energy of formation	1.87	eV/f.u.
electronic total energy	-15.57	eV for the cell shown
relative energy among the computed polymorphs	160	meV/atom

9.
Below is an optimized crystal structure of CuRe2OsS, with properties calculated at the PBE-GGA level.

a = 4.7430 Å, b = 4.6443 Å, c = 4.7430 Å
α = 90.00°, β = 90.00°, γ = 90.00°
With the nearest neighbours (Å) after each atom.
Fractional positions:
1 Re 0.0000 0.0000 0.5000  2 Os 2.37
2 Re 0.5000 0.0000 0.0000  2 Os 2.37
3 Cu 0.0000 0.5000 0.0000  2 Os 2.32
4 Os 0.0000 0.0000 0.0000  2 Cu 2.32, 4 Re 2.37
5 S 0.5000 0.5000 0.5000  8 Re 3.32, 4 Cu 3.35

Values from the calculation:
raw formation energy	2.071	eV per atom
electronic total energy	-33.99	eV for the cell shown

10.
Below is an optimized crystal structure of Pu3Tl3FeSe8, with properties calculated at the PBE-GGA level.

a = 8.1933 Å, b = 8.1936 Å, c = 9.1236 Å
α = 116.67°, β = 90.00°, γ = 120.00°
With the nearest neighbours (Å) after each atom.
Fractional positions:
1 Se 0.2182 0.9714 0.6900  1 Fe 2.65, 2 Pu 2.86-2.87
2 Se 0.7531 0.9714 0.6900  1 Fe 2.65, 2 Pu 2.86-2.87
3 Se 0.7355 0.4710 0.7062  3 Pu 2.86
4 Se 0.7818 0.0286 0.3100  1 Fe 2.65, 2 Pu 2.86-2.87
5 Se 0.7815 0.5630 0.3101  1 Fe 2.66, 2 Pu 2.86
6 Se 0.2185 0.4370 0.6899  1 Fe 2.66, 2 Pu 2.86
7 Se 0.2645 0.5290 0.2938  3 Pu 2.86
8 Se 0.2469 0.0286 0.3100  1 Fe 2.65, 2 Pu 2.86-2.87
9 Tl 0.0000 0.5000 0.0000  6 Se 3.29-3.33
10 Tl 0.0000 0.0000 0.0000  6 Se 3.29-3.33
11 Tl 0.5000 0.5000 0.0000  6 Se 3.29-3.33
12 Pu 0.0000 0.5000 0.5000  6 Se 2.86
13 Pu 0.5000 0.0000 0.5000  6 Se 2.86-2.87
14 Pu 0.5000 0.5000 0.5000  6 Se 2.86
15 Fe 0.0000 0.0000 0.5000  6 Se 2.65-2.66

Values from the calculation:
raw formation energy	-0.875	eV per atom
electronic total energy	-99.56	eV for the cell shown

11.
Below is an optimized crystal structure of La3GaBr2, with properties calculated at the PBE-GGA level.

a = 6.0844 Å, b = 8.2167 Å, c = 8.2167 Å
α = 101.10°, β = 90.00°, γ = 90.00°
With the nearest neighbours (Å) after each atom.
Fractional positions:
1 Br 0.9930 0.2135 0.5146  5 La 3.04-3.14
2 Br 0.9930 0.5146 0.2135  5 La 3.04-3.14
3 Br 0.4930 0.4854 0.7865  5 La 3.04-3.14
4 Br 0.4930 0.7865 0.4854  5 La 3.04-3.14
5 La 0.9930 0.4751 0.8385  1 Ga 2.93, 4 Br 3.04-3.08
6 La 0.4930 0.8748 0.8748  3 Ga 3.08, 2 Br 3.14
7 La 0.4930 0.5249 0.1615  1 Ga 2.93, 4 Br 3.04-3.08
8 La 0.4930 0.1615 0.5249  1 Ga 2.93, 4 Br 3.04-3.08
9 La 0.9930 0.1252 0.1252  3 Ga 3.08, 2 Br 3.14
10 La 0.9930 0.8385 0.4751  1 Ga 2.93, 4 Br 3.04-3.08
11 Ga 0.9929 0.8306 0.8306  5 La 2.93-3.08
12 Ga 0.4929 0.1694 0.1694  5 La 2.93-3.08

Values from the calculation:
raw formation energy	-0.863	eV per atom
electronic total energy	-52.67	eV for the cell shown
relative energy among the computed polymorphs	257	meV/atom

12.
Below is an optimized crystal structure of Zr5NiRu4, with properties calculated at the PBE-GGA level.

a = 3.2598 Å, b = 3.2598 Å, c = 16.4287 Å
α = 90.00°, β = 90.00°, γ = 90.00°
With the nearest neighbours (Å) after each atom.
Fractional positions:
1 Zr 0.5000 0.5000 0.5000  8 Ru 2.84
2 Zr 0.5000 0.5000 0.9028  4 Ni 2.80, 4 Ru 2.84
3 Zr 0.5000 0.5000 0.7015  8 Ru 2.83-2.84
4 Zr 0.5000 0.5000 0.0972  4 Ni 2.80, 4 Ru 2.84
5 Zr 0.5000 0.5000 0.2985  8 Ru 2.83-2.84
6 Ru 0.0000 0.0000 0.3992  8 Zr 2.84
7 Ru 0.0000 0.0000 0.6008  8 Zr 2.84
8 Ru 0.0000 0.0000 0.8017  8 Zr 2.83-2.84
9 Ru 0.0000 0.0000 0.1983  8 Zr 2.83-2.84
10 Ni 0.0000 0.0000 0.0000  8 Zr 2.80

Values from the calculation:
energy of formation	-5.75	eV/f.u.
electronic total energy	-91.37	eV for the cell shown